A) Below is a relaxed Ho12Er6Tm crystal, with properties calculated at the PBE level. Values from VASP.

```
&SYSTEM
  ibrav = 0, nat = 19, ntyp = 3
/
ATOMIC_SPECIES
Er 167.26 Er.upf
Ho 164.93 Ho.upf
Tm 168.93 Tm.upf
ATOMIC_POSITIONS angstrom
Er -1.3200 -4.7107 4.2231
Er -4.6005 -4.4243 -1.0142
Er 1.3182 -6.2186 -1.1657
Ho -2.4112 -2.2637 -0.5470
Ho -6.9751 -3.0138 0.7680
Ho -0.6753 -2.4153 2.2244
Ho -2.1431 -6.9871 -0.9732
Ho 4.1567 -6.3885 0.4832
Er -1.4984 -4.6917 -2.9719
Ho 0.7208 -3.2132 -0.6272
Ho 1.6757 -4.9705 5.5508
Er -4.1366 -3.1838 2.4169
Ho -3.5392 -6.1891 1.8784
Ho -0.4072 -7.1386 1.7982
Tm 0.0000 0.0000 0.0000
Ho -3.8902 -3.2831 5.6932
Ho 1.0717 -6.1192 -4.4420
Er 1.7821 -4.9781 2.2655
Ho -4.4941 -4.4319 -4.2996
CELL_PARAMETERS angstrom
-7.8318 -0.4743 4.8796
-1.4568 -4.1180 -8.1420
6.4702 -4.8101 4.5136
```

Results
Volume ... 33.6 Å³ per atom
Crystal system ... trigonal

B) Below is a relaxed Ho12Er6Tm crystal, with properties calculated at the PBE level. Values from VASP.

```
&SYSTEM
  ibrav = 0, nat = 19, ntyp = 3
/
ATOMIC_SPECIES
Ho 164.93 Ho.upf
Er 167.26 Er.upf
Tm 168.93 Tm.upf
ATOMIC_POSITIONS angstrom
Ho 2.8608 0.2143 2.0414
Er 6.9976 2.7598 7.2866
Ho 5.7361 5.3203 9.5433
Ho 3.8689 3.5365 7.3457
Ho 4.3409 1.9984 4.5162
Ho 2.9090 6.4483 5.6027
Ho 3.3811 4.9102 2.7732
Er 0.2524 5.6869 2.8323
Ho 1.5138 3.1264 0.5757
Er 1.7118 0.5178 6.1015
Er 5.5829 2.5881 1.5998
Ho 4.3891 8.2324 8.0775
Er 5.5382 7.9288 4.0174
Ho 7.4718 6.9492 6.9399
Er 1.6670 5.8586 8.5191
Tm 0.0000 0.0000 0.0000
Ho 1.3172 3.6226 5.3268
Ho -0.2219 1.4975 3.1790
Ho 5.9328 4.8240 4.7922
CELL_PARAMETERS angstrom
8.3515 0.7237 0.8670
-0.5508 8.3646 0.8670
-0.5508 -0.6417 8.3849
```

Results
Volume ... 31.5 Å³ per atom
Crystal system ... trigonal

Stability order, top to bottom: B), A)